Run w
Computed, not measured: an optimized crystal structure of Rb2SnGe2 at the PBE-GGA level of DFT.

Crystal system: tetragonal
Total magnetic moment in μB per formula unit: 0.00
Space group: P4/mbm (127)

a = 7.3906 Å, b = 7.3906 Å, c = 5.9506 Å
α = 90.00°, β = 90.00°, γ = 90.00°
Element x y z (fractional)
Rb: 0.8136 0.3136 0.5000
Rb: 0.6864 0.8136 0.5000
Ge: 0.6200 0.1200 0.0000
Sn: 0.5000 0.5000 0.0000
Ge: 0.8800 0.6200 0.0000
Rb: 0.3136 0.1864 0.5000
Ge: 0.1200 0.3800 0.0000
Ge: 0.3800 0.8800 0.0000
Sn: 0.0000 0.0000 0.0000
Rb: 0.1864 0.6864 0.5000

Run x
Computed, not measured: an optimized crystal structure of Rb2SnGe2 at the PBE-GGA level of DFT.

Crystal system: monoclinic
Total magnetic moment in μB per formula unit: 0.00
Space group: C2/m (12)

a = 8.5005 Å, b = 7.5588 Å, c = 8.4045 Å
α = 76.53°, β = 65.53°, γ = 55.79°
Element x y z (fractional)
Ge: 0.1533 0.0000 0.6769
Ge: 0.8467 0.0000 0.3231
Sn: 0.1262 0.7476 0.0000
Rb: 0.8891 0.6919 0.7367
Rb: 0.5810 0.3081 0.7367
Ge: 0.6828 0.0000 0.1474
Rb: 0.4190 0.6919 0.2633
Ge: 0.3172 0.0000 0.8526
Rb: 0.1109 0.3081 0.2633
Sn: 0.8738 0.2524 0.0000

Tell me which of them is the least stable. Sure, it is run w.

Run w
Computed, not measured: an optimized crystal structure of Rb2SrGe2 at the PBE-GGA level of DFT.

Crystal system: tetragonal
Total magnetic moment in μB per formula unit: 0.09
Space group: P4/mbm (127)

a = 8.3062 Å, b = 8.3062 Å, c = 5.9408 Å
α = 90.00°, β = 90.00°, γ = 90.00°
Element x y z (fractional)
Ge: 0.8993 0.6007 0.0000
Rb: 0.3209 0.1791 0.5000
Rb: 0.6791 0.8209 0.5000
Ge: 0.3993 0.8993 0.0000
Rb: 0.1791 0.6791 0.5000
Sr: 0.0000 0.0000 0.0000
Ge: 0.6007 0.1007 0.0000
Rb: 0.8209 0.3209 0.5000
Ge: 0.1007 0.3993 0.0000
Sr: 0.5000 0.5000 0.0000

Run x
Computed, not measured: an optimized crystal structure of Rb2SrGe2 at the PBE-GGA level of DFT.

Crystal system: tetragonal
Total magnetic moment in μB per formula unit: 0.00
Space group: I4/mmm (139)

a = 4.9050 Å, b = 4.9050 Å, c = 8.4494 Å
α = 73.13°, β = 73.13°, γ = 90.00°
Element x y z (fractional)
Sr: 0.0000 0.0000 0.0000
Rb: 0.2500 0.7500 0.5000
Ge: 0.4222 0.4222 0.1556
Ge: 0.5778 0.5778 0.8444
Rb: 0.7500 0.2500 0.5000

Tell me which of them is the least stable. Sure, it is run w.